## DyMgRh2 (GGA-PBE)

Data for a geometry-optimized DyMgRh2 structure.

The calculation puts the total magnetic moment at 0.000 μB/cell. The value obtained for the formation energy is -724 meV/atom. The density of states at the Fermi level is 0.519 states/eV/atom. Its space group is Fm-3m, No. 225.

Cell lengths 4.6405, 4.6416, 4.6405 Å; angles 59.99, 60.01, 59.99 degrees
Closest atoms and distances in Å follow each position.
Positions (direct):
1 Mg 0.7500 0.7500 0.7500  8 Rh 2.84
2 Rh 0.0000 0.0000 0.0000  4 Mg 2.84, 4 Dy 2.84
3 Rh 0.5000 0.5000 0.5000  4 Mg 2.84, 4 Dy 2.84
4 Dy 0.2500 0.2500 0.2500  8 Rh 2.84